A) The following is a DFT calculation (PBE-GGA) of crystalline AgPd6Au at its relaxed geometry. Values from VASP.

**Calculated density**: 12.3 g cm⁻³
**Space-group type**: P4/mmm

Geometry as Quantum ESPRESSO input:
```
&SYSTEM
  ibrav = 0, nat = 8, ntyp = 3
/
ATOMIC_SPECIES
Ag 107.87 Ag.upf
Pd 106.42 Pd.upf
Au 196.97 Au.upf
CELL_PARAMETERS angstrom
3.996 0.000 0.000
0.000 3.996 0.000
0.000 0.000 8.004
ATOMIC_POSITIONS crystal
Ag 0.000 0.000 0.000
Pd 0.000 0.500 0.249
Pd 0.000 0.500 0.751
Pd 0.500 0.000 0.249
Pd 0.500 0.000 0.751
Pd 0.500 0.500 0.000
Pd 0.500 0.500 0.500
Au 0.000 0.000 0.500
```


B) The following is a DFT calculation (PBE-GGA) of crystalline AgPd6Au at its relaxed geometry. Values from VASP.

**Calculated density**: 12.2 g cm⁻³
**Space-group type**: C2/m

Geometry as Quantum ESPRESSO input:
```
&SYSTEM
  ibrav = 0, nat = 8, ntyp = 3
/
ATOMIC_SPECIES
Ag 107.87 Ag.upf
Pd 106.42 Pd.upf
Au 196.97 Au.upf
CELL_PARAMETERS angstrom
4.493 -1.991 0.000
4.493 1.991 0.000
-3.559 0.000 7.148
ATOMIC_POSITIONS crystal
Ag 0.000 0.000 0.000
Pd 0.250 0.250 0.375
Pd 0.250 0.250 0.875
Pd 0.500 0.500 0.249
Pd 0.500 0.500 0.751
Pd 0.750 0.750 0.125
Pd 0.750 0.750 0.625
Au 0.000 0.000 0.500
```


Here are the energies relative to the best structure, in eV/atom: A) 0.000; B) 0.011.


A) The following is a DFT calculation (PBE-GGA) of crystalline Ag8PdAu3 at its relaxed geometry. Values from VASP.

**Calculated density**: 9.8 g cm⁻³
**Space-group type**: I-42m

Geometry as Quantum ESPRESSO input:
```
&SYSTEM
  ibrav = 0, nat = 12, ntyp = 3
/
ATOMIC_SPECIES
Ag 107.87 Ag.upf
Pd 106.42 Pd.upf
Au 196.97 Au.upf
CELL_PARAMETERS angstrom
-3.689 3.689 4.871
3.689 -3.689 4.871
3.689 3.689 -4.871
ATOMIC_POSITIONS crystal
Ag 0.125 0.125 0.729
Ag 0.238 0.732 0.000
Ag 0.268 0.268 0.506
Ag 0.395 0.395 0.271
Ag 0.605 0.875 0.000
Ag 0.732 0.238 0.000
Ag 0.762 0.762 0.494
Ag 0.875 0.605 0.000
Pd 0.500 0.500 0.000
Au 0.000 0.000 0.000
Au 0.250 0.750 0.500
Au 0.750 0.250 0.500
```


B) The following is a DFT calculation (PBE-GGA) of crystalline Ag8PdAu3 at its relaxed geometry. Values from VASP.

**Calculated density**: 12.2 g cm⁻³
**Space-group type**: P2/m

Geometry as Quantum ESPRESSO input:
```
&SYSTEM
  ibrav = 0, nat = 12, ntyp = 3
/
ATOMIC_SPECIES
Ag 107.87 Ag.upf
Pd 106.42 Pd.upf
Au 196.97 Au.upf
CELL_PARAMETERS angstrom
5.085 0.000 0.000
0.000 5.816 0.000
-0.062 0.000 7.165
ATOMIC_POSITIONS crystal
Ag 0.000 0.248 0.000
Ag 0.000 0.752 0.000
Ag 0.169 0.000 0.668
Ag 0.334 0.248 0.331
Ag 0.334 0.752 0.331
Ag 0.666 0.248 0.669
Ag 0.666 0.752 0.669
Ag 0.831 0.000 0.332
Pd 0.500 0.000 0.000
Au 0.166 0.500 0.665
Au 0.500 0.500 0.000
Au 0.834 0.500 0.335
```


Here are the energies relative to the best structure, in eV/atom: A) 0.421; B) 0.000.


A) The following is a DFT calculation (PBE-GGA) of crystalline SmAgPdAu at its relaxed geometry. Values from VASP.

**Calculated density**: 11.6 g cm⁻³
**Space-group type**: I-4m2

Geometry as Quantum ESPRESSO input:
```
&SYSTEM
  ibrav = 0, nat = 4, ntyp = 4
/
ATOMIC_SPECIES
Sm 150.36 Sm.upf
Ag 107.87 Ag.upf
Pd 106.42 Pd.upf
Au 196.97 Au.upf
CELL_PARAMETERS angstrom
-2.189 2.189 4.201
2.189 -2.189 4.201
2.189 2.189 -4.201
ATOMIC_POSITIONS crystal
Sm 0.000 0.000 0.000
Ag 0.500 0.500 0.000
Pd 0.750 0.250 0.500
Au 0.250 0.750 0.500
```


B) The following is a DFT calculation (PBE-GGA) of crystalline SmAgPdAu at its relaxed geometry. Values from VASP.

**Calculated density**: 11.3 g cm⁻³
**Space-group type**: F-43m

Geometry as Quantum ESPRESSO input:
```
&SYSTEM
  ibrav = 0, nat = 4, ntyp = 4
/
ATOMIC_SPECIES
Sm 150.36 Sm.upf
Ag 107.87 Ag.upf
Pd 106.42 Pd.upf
Au 196.97 Au.upf
CELL_PARAMETERS angstrom
0.000 3.456 3.456
3.456 0.000 3.456
3.456 3.456 0.000
ATOMIC_POSITIONS crystal
Sm 0.000 0.000 0.000
Ag 0.500 0.500 0.500
Pd 0.250 0.250 0.250
Au 0.750 0.750 0.750
```


Here are the energies relative to the best structure, in eV/atom: A) 0.013; B) 0.000.


A) The following is a DFT calculation (PBE-GGA) of crystalline PmAg2Au6 at its relaxed geometry. Values from VASP.

**Calculated density**: 14.0 g cm⁻³
**Space-group type**: Immm

Geometry as Quantum ESPRESSO input:
```
&SYSTEM
  ibrav = 0, nat = 9, ntyp = 3
/
ATOMIC_SPECIES
Pm 145.00 Pm.upf
Ag 107.87 Ag.upf
Au 196.97 Au.upf
CELL_PARAMETERS angstrom
-1.629 3.997 7.033
1.629 -3.997 7.033
1.629 3.997 -7.033
ATOMIC_POSITIONS crystal
Pm 0.000 0.000 0.000
Ag 0.353 0.853 0.500
Ag 0.647 0.147 0.500
Au 0.000 0.325 0.676
Au 0.000 0.675 0.324
Au 0.327 0.500 0.827
Au 0.351 0.675 0.676
Au 0.649 0.325 0.324
Au 0.673 0.500 0.173
```


B) The following is a DFT calculation (PBE-GGA) of crystalline PmAg2Au6 at its relaxed geometry. Values from VASP.

**Calculated density**: 14.4 g cm⁻³
**Space-group type**: C2/c

Geometry as Quantum ESPRESSO input:
```
&SYSTEM
  ibrav = 0, nat = 18, ntyp = 3
/
ATOMIC_SPECIES
Pm 145.00 Pm.upf
Ag 107.87 Ag.upf
Au 196.97 Au.upf
CELL_PARAMETERS angstrom
6.788 -5.134 0.000
6.788 5.134 0.000
-0.834 0.000 5.098
ATOMIC_POSITIONS crystal
Pm 0.137 0.863 0.750
Pm 0.863 0.137 0.250
Ag 0.204 0.468 0.903
Ag 0.468 0.204 0.403
Ag 0.532 0.796 0.597
Ag 0.796 0.532 0.097
Au 0.003 0.758 0.200
Au 0.108 0.354 0.354
Au 0.242 0.997 0.300
Au 0.328 0.559 0.456
Au 0.354 0.108 0.854
Au 0.441 0.672 0.044
Au 0.559 0.328 0.956
Au 0.646 0.892 0.146
Au 0.672 0.441 0.544
Au 0.758 0.003 0.700
Au 0.892 0.646 0.646
Au 0.997 0.242 0.800
```


Here are the energies relative to the best structure, in eV/atom: A) 0.033; B) 0.000.


A) The following is a DFT calculation (PBE-GGA) of crystalline PmAgAu2 at its relaxed geometry. Values from VASP.

**Calculated density**: 12.3 g cm⁻³
**Space-group type**: P4/mmm

Geometry as Quantum ESPRESSO input:
```
&SYSTEM
  ibrav = 0, nat = 4, ntyp = 3
/
ATOMIC_SPECIES
Pm 145.00 Pm.upf
Ag 107.87 Ag.upf
Au 196.97 Au.upf
CELL_PARAMETERS angstrom
4.690 0.000 0.000
0.000 4.690 0.000
0.000 0.000 3.980
ATOMIC_POSITIONS crystal
Pm 0.000 0.000 0.000
Ag 0.500 0.500 0.000
Au 0.000 0.500 0.500
Au 0.500 0.000 0.500
```


B) The following is a DFT calculation (PBE-GGA) of crystalline PmAgAu2 at its relaxed geometry. Values from VASP.

**Calculated density**: 12.3 g cm⁻³
**Space-group type**: Fm-3m

Geometry as Quantum ESPRESSO input:
```
&SYSTEM
  ibrav = 0, nat = 4, ntyp = 3
/
ATOMIC_SPECIES
Pm 145.00 Pm.upf
Ag 107.87 Ag.upf
Au 196.97 Au.upf
CELL_PARAMETERS angstrom
0.000 3.517 3.517
3.517 0.000 3.517
3.517 3.517 0.000
ATOMIC_POSITIONS crystal
Pm 0.000 0.000 0.000
Ag 0.500 0.500 0.500
Au 0.250 0.250 0.250
Au 0.750 0.750 0.750
```


C) The following is a DFT calculation (PBE-GGA) of crystalline PmAgAu2 at its relaxed geometry. Values from VASP.

**Calculated density**: 12.5 g cm⁻³
**Space-group type**: P4/mmm

Geometry as Quantum ESPRESSO input:
```
&SYSTEM
  ibrav = 0, nat = 4, ntyp = 3
/
ATOMIC_SPECIES
Pm 145.00 Pm.upf
Ag 107.87 Ag.upf
Au 196.97 Au.upf
CELL_PARAMETERS angstrom
3.626 0.000 0.000
0.000 3.626 0.000
0.000 0.000 6.559
ATOMIC_POSITIONS crystal
Pm 0.000 0.000 0.000
Ag 0.000 0.000 0.500
Au 0.500 0.500 0.274
Au 0.500 0.500 0.726
```


Here are the energies relative to the best structure, in eV/atom: A) 0.163; B) 0.000; C) 0.069.


A) The following is a DFT calculation (PBE-GGA) of crystalline PmAgAu at its relaxed geometry. Values from VASP.

**Calculated density**: 10.7 g cm⁻³
**Space-group type**: P-6m2

Geometry as Quantum ESPRESSO input:
```
&SYSTEM
  ibrav = 0, nat = 3, ntyp = 3
/
ATOMIC_SPECIES
Pm 145.00 Pm.upf
Ag 107.87 Ag.upf
Au 196.97 Au.upf
CELL_PARAMETERS angstrom
4.768 0.000 0.000
-2.384 4.130 0.000
0.000 0.000 3.562
ATOMIC_POSITIONS crystal
Pm 0.000 0.000 0.000
Ag 0.333 0.667 0.500
Au 0.667 0.333 0.500
```


B) The following is a DFT calculation (PBE-GGA) of crystalline PmAgAu at its relaxed geometry. Values from VASP.

**Calculated density**: 10.5 g cm⁻³
**Space-group type**: Cmcm

Geometry as Quantum ESPRESSO input:
```
&SYSTEM
  ibrav = 0, nat = 6, ntyp = 3
/
ATOMIC_SPECIES
Pm 145.00 Pm.upf
Ag 107.87 Ag.upf
Au 196.97 Au.upf
CELL_PARAMETERS angstrom
1.929 -9.084 0.000
1.929 9.084 0.000
0.000 0.000 4.061
ATOMIC_POSITIONS crystal
Pm 0.126 0.874 0.750
Pm 0.874 0.126 0.250
Ag 0.451 0.549 0.750
Ag 0.549 0.451 0.250
Au 0.294 0.706 0.750
Au 0.706 0.294 0.250
```


Here are the energies relative to the best structure, in eV/atom: A) 0.000; B) 0.035.